1.
PBE La2MgTl6, relaxed; raw total energy = -3.00 eV per atom
1.0
8.4457 -4.3793 0.0000
8.4457 4.3793 0.0000
-0.0058 0.0000 3.6699
La Mg Tl
2 1 6
Direct
0.1914 0.1914 0.9998
0.8086 0.8086 0.0002
0.5000 0.5000 0.5000
0.1640 0.5261 0.5004
0.1868 0.8132 0.0000
0.4739 0.8360 0.4996
0.5261 0.1640 0.5004
0.8132 0.1868 0.0000
0.8360 0.4739 0.4996

=====

2.
PBE La3MgTl2, relaxed; energy above the lowest structure with this stoichiometry = 0.0 kJ/mol of atoms; raw total energy = -3.85 eV per atom
1.0
5.6196 0.0000 0.0000
-2.8098 4.8667 0.0000
0.0000 0.0000 13.7973
La Mg Tl
6 2 4
Direct
0.0000 0.0000 0.2484
0.0000 0.0000 0.7516
0.3333 0.6667 0.4197
0.3333 0.6667 0.9201
0.6667 0.3333 0.0799
0.6667 0.3333 0.5803
0.3333 0.6667 0.6693
0.6667 0.3333 0.3307
0.0000 0.0000 0.0000
0.0000 0.0000 0.5000
0.3333 0.6667 0.1768
0.6667 0.3333 0.8232

=====

3.
PBE La4MgTl, relaxed; energy above the lowest structure with this stoichiometry = 16.2 kJ/mol of atoms; raw total energy = -3.76 eV per atom
1.0
0.0000 4.6670 4.6670
4.6670 0.0000 4.6670
4.6670 4.6670 0.0000
La Mg Tl
4 1 1
Direct
0.3759 0.3759 0.3759
0.3759 0.3759 0.8724
0.3759 0.8724 0.3759
0.8724 0.3759 0.3759
0.0000 0.0000 0.0000
0.7500 0.7500 0.7500

=====

4.
PBE La5Mg2Tl, relaxed; raw total energy = -3.90 eV per atom
1.0
8.0940 0.0000 0.0000
0.0000 8.0940 0.0000
0.0000 0.0000 7.8916
La Mg Tl
10 4 2
Direct
0.0000 0.0000 0.0000
0.2501 0.2501 0.2491
0.2499 0.2499 0.7491
0.2501 0.7499 0.2491
0.2499 0.7501 0.7491
0.5000 0.5000 0.5000
0.7499 0.2501 0.2491
0.7501 0.2499 0.7491
0.7499 0.7499 0.2491
0.7501 0.7501 0.7491
0.0000 0.5000 0.4989
0.0000 0.5000 0.9989
0.5000 0.0000 0.4989
0.5000 0.0000 0.9989
0.0000 0.0000 0.4989
0.5000 0.5000 0.9989

=====

5.
PBE LaMg3Tl3, relaxed; energy above the lowest structure with this stoichiometry = 0.0 kJ/mol of atoms; raw total energy = -2.10 eV per atom
1.0
7.7490 0.0000 0.0000
0.0000 7.7490 0.0000
0.0000 0.0000 7.7490
La Mg Tl
2 6 6
Direct
0.0000 0.0000 0.0000
0.5000 0.5000 0.5000
0.0000 0.2500 0.5000
0.0000 0.7500 0.5000
0.2500 0.5000 0.0000
0.5000 0.0000 0.2500
0.5000 0.0000 0.7500
0.7500 0.5000 0.0000
0.0000 0.5000 0.2500
0.0000 0.5000 0.7500
0.2500 0.0000 0.5000
0.5000 0.2500 0.0000
0.5000 0.7500 0.0000
0.7500 0.0000 0.5000

=====

6.
PBE LaMgTl, relaxed; raw total energy = -3.26 eV per atom
1.0
5.0633 0.0000 0.0000
-2.5317 4.3850 0.0000
0.0000 0.0000 7.8850
La Mg Tl
2 2 2
Direct
0.0000 0.0000 0.0000
0.0000 0.0000 0.5000
0.6667 0.3333 0.2158
0.6667 0.3333 0.7842
0.3333 0.6667 0.2777
0.3333 0.6667 0.7223

=====

Among the records above, which one has the highest raw total energy? LaMg3Tl3